A relaxed structure of Sc3AgC. Source: Alexandria via LeMat-Bulk, functional PBE. Values from VASP.

Properties
- excess energy over the best structure of this formula in the dataset (meV/atom) = 120
- symmetry = C2/m
- formation enthalpy at 0 K (eV/f.u.) = -1.4
- V (Å³ per cell) = 191
- VASP energy (eV/atom) = -6.492
- total magnetization (μB per formula unit) = 0.72

```
&SYSTEM
  ibrav = 0, nat = 10, ntyp = 3
/
ATOMIC_SPECIES
Sc 44.96 Sc.upf
C 12.01 C.upf
Ag 107.87 Ag.upf
CELL_PARAMETERS angstrom
-14.042 2.607 11.149
-5.611 3.184 1.062
3.558 -4.319 -3.382
ATOMIC_POSITIONS crystal
Sc 0.352 0.610 0.390
Sc 0.648 0.390 0.610
Sc 0.121 0.264 0.736
Sc 0.879 0.736 0.264
Sc 0.616 0.674 0.326
Sc 0.384 0.326 0.674
C 0.640 0.020 0.980
C 0.360 0.980 0.020
Ag 0.891 0.953 0.047
Ag 0.109 0.047 0.953
```